No. 1
! Sr3Zn8In3, optimized geometry, DFT PBE; values from VASP
&SYSTEM
  ibrav = 0, nat = 14, ntyp = 3
/
ATOMIC_SPECIES
Sr 87.62 Sr.upf
Zn 65.41 Zn.upf
In 114.82 In.upf
CELL_PARAMETERS angstrom
-2.283 5.061 6.886
2.283 -5.061 6.886
2.283 5.061 -6.886
ATOMIC_POSITIONS angstrom
Sr 0.000 0.000 0.000
Sr 0.000 0.000 4.179
Sr 0.000 0.000 9.593
Zn 2.283 -1.334 2.321
Zn 2.283 -2.349 4.829
Zn 2.283 1.334 2.321
Zn 0.000 2.711 2.056
Zn 2.283 2.349 4.829
Zn 0.000 3.727 4.564
Zn 0.000 7.410 2.056
Zn 0.000 6.394 4.564
In 2.283 2.834 0.000
In 0.000 5.061 0.000
In 0.000 2.227 6.886
! - symmetry = Immm, No. 71
! - total magnetic moment (μB/cell) = 0.0
! - DFT total energy (eV per atom) = -1.92
! - energy of formation (eV per atom) = -0.243
! - mass density (g cm⁻³) = 5.9
! - DOS(E_F) (states/eV/atom) = 0.501

No. 2
! CsKCdAg3, optimized geometry, DFT PBE; values from VASP
&SYSTEM
  ibrav = 0, nat = 12, ntyp = 4
/
ATOMIC_SPECIES
Cs 132.91 Cs.upf
K 39.10 K.upf
Cd 112.41 Cd.upf
Ag 107.87 Ag.upf
CELL_PARAMETERS angstrom
3.573 -7.386 0.000
3.573 7.386 0.000
-0.668 0.000 9.340
ATOMIC_POSITIONS angstrom
Cs 3.072 4.098 7.005
Cs 3.406 -4.098 2.335
K 3.406 6.268 2.335
K 3.072 -6.268 7.005
Cd 3.072 0.253 7.005
Cd 3.406 -0.253 2.335
Ag 2.281 1.163 4.509
Ag 3.406 2.586 2.335
Ag 1.947 -1.163 9.179
Ag 4.530 1.163 0.161
Ag 3.072 -2.586 7.005
Ag 4.196 -1.163 4.831
! - symmetry = C2/c, No. 15
! - total magnetic moment (μB/cell) = 0.0
! - DFT total energy (eV per atom) = -1.78
! - energy of formation (eV per atom) = 0.126
! - mass density (g cm⁻³) = 4.1
! - DOS(E_F) (states/eV/atom) = 0.278

No. 3
! NiBiB2, optimized geometry, DFT PBE; values from VASP
&SYSTEM
  ibrav = 0, nat = 16, ntyp = 3
/
ATOMIC_SPECIES
Ni 58.69 Ni.upf
Bi 208.98 Bi.upf
B 10.81 B.upf
CELL_PARAMETERS angstrom
3.911 0.000 0.000
0.000 3.911 0.000
0.000 0.000 14.235
ATOMIC_POSITIONS angstrom
Ni 0.000 0.978 5.338
Ni 0.000 2.933 8.897
Ni 1.955 0.978 1.779
Ni 1.955 2.933 12.456
Bi 0.000 0.978 12.456
Bi 0.000 2.933 1.779
Bi 1.955 0.978 8.897
Bi 1.955 2.933 5.338
B 0.000 0.000 7.118
B 0.000 1.955 7.118
B 0.978 0.978 3.559
B 0.978 2.933 10.676
B 1.955 0.000 0.000
B 1.955 1.955 0.000
B 2.933 0.978 3.559
B 2.933 2.933 10.676
! - symmetry = I4_1/amd, No. 141
! - total magnetic moment (μB/cell) = 0.0
! - DFT total energy (eV per atom) = -5.26
! - energy of formation (eV per atom) = 0.491
! - mass density (g cm⁻³) = 8.8
! - DOS(E_F) (states/eV/atom) = 0.310